[1]
Here is a geometry-optimized Nb3Fe8Cu structure from Alexandria via LeMat-Bulk. Energies are from GGA-PBE.

Properties
ρ = 8.45 g/cm3
Electronic total energy = -0.63165 Ry/atom
Density of states at the Fermi level = 32.3 states/eV/cell

```
data_Nb3Fe8Cu
_chemical_formula_sum 'Nb9 Fe24 Cu3'
_space_group_name_H-M_alt 'R 3 m'
_space_group_IT_number 160
_space_group_name_Hall 'R 3 -2"'
_cell_length_a 4.7878
_cell_length_b 4.7878
_cell_length_c 23.4222
_cell_angle_alpha 90.00
_cell_angle_beta 90.00
_cell_angle_gamma 120.00
loop_
_atom_site_label
_atom_site_type_symbol
_atom_site_fract_x
_atom_site_fract_y
_atom_site_fract_z
Nb1 Nb 0.0000 0.0000 0.0000
Nb2 Nb 0.0000 0.0000 0.1271
Nb3 Nb 0.0000 0.0000 0.6179
Fe1 Fe 0.0000 0.0000 0.3113
Fe2 Fe 0.0000 0.0000 0.8112
Fe3 Fe 0.0008 0.5004 0.0614
Fe4 Fe 0.0017 0.5008 0.5609
Cu1 Cu 0.0000 0.0000 0.4970
```

---

[2]
Here is a geometry-optimized MgSe2N2 structure from Alexandria via LeMat-Bulk. Energies are from GGA-PBE.

Properties
Formation energy from raw total energies = 1.009 eV/atom
ρ = 3.75 g/cm3
Density of states at the Fermi level = 1.3 states/eV/cell
ΔE to the lowest computed polymorph = 0.0 meV/atom

```
data_MgSe2N2
_chemical_formula_sum 'Mg1 Se2 N2'
_space_group_name_H-M_alt 'P 4/m m m'
_space_group_IT_number 123
_space_group_name_Hall '-P 4 2'
_cell_length_a 3.748
_cell_length_b 3.748
_cell_length_c 6.630
_cell_angle_alpha 90.00
_cell_angle_beta 90.00
_cell_angle_gamma 90.00
loop_
_atom_site_label
_atom_site_type_symbol
_atom_site_fract_x
_atom_site_fract_y
_atom_site_fract_z
Mg1 Mg 0.000 0.000 0.000
Se1 Se 0.500 0.500 0.000
Se2 Se 0.500 0.500 0.500
N1 N 0.000 0.500 0.500
```

---

[3]
Here is a geometry-optimized HgSNCl2 structure from Alexandria via LeMat-Bulk. Energies are from GGA-PBE.

Properties
Formation energy from raw total energies = 0.945 eV/atom
ρ = 5.99 g/cm3
Density of states at the Fermi level = 2.2 states/eV/cell
ΔE to the lowest computed polymorph = 0.0 meV/atom

```
data_HgSNCl2
_chemical_formula_sum 'Hg1 S1 N1 Cl2'
_space_group_name_H-M_alt 'P 4/m m m'
_space_group_IT_number 123
_space_group_name_Hall '-P 4 2'
_cell_length_a 4.333
_cell_length_b 4.333
_cell_length_c 4.692
_cell_angle_alpha 90.00
_cell_angle_beta 90.00
_cell_angle_gamma 90.00
loop_
_atom_site_label
_atom_site_type_symbol
_atom_site_fract_x
_atom_site_fract_y
_atom_site_fract_z
Hg1 Hg 0.000 0.000 0.000
S1 S 0.500 0.500 0.000
N1 N 0.500 0.500 0.500
Cl1 Cl 0.000 0.500 0.500
```

---

[4]
Here is a geometry-optimized Th4B3AsRh12 structure from Alexandria via LeMat-Bulk. Energies are from GGA-PBE.

Properties
ρ = 11.32 g/cm3
Electronic total energy = -0.58026 Ry/atom
Density of states at the Fermi level = 18.9 states/eV/cell

```
data_Th4B3AsRh12
_chemical_formula_sum 'Th8 B6 As2 Rh24'
_space_group_name_H-M_alt 'I m -3 m'
_space_group_IT_number 229
_space_group_name_Hall '-I 4 2 3'
_cell_length_a 8.734
_cell_length_b 8.734
_cell_length_c 8.734
_cell_angle_alpha 90.00
_cell_angle_beta 90.00
_cell_angle_gamma 90.00
loop_
_atom_site_label
_atom_site_type_symbol
_atom_site_fract_x
_atom_site_fract_y
_atom_site_fract_z
Th1 Th 0.250 0.250 0.250
B1 B 0.000 0.000 0.500
As1 As 0.000 0.000 0.000
Rh1 Rh 0.000 0.000 0.271
Rh2 Rh 0.000 0.250 0.500
```

---

[5]
Here is a geometry-optimized Nd5Cd2Ru2 structure from Alexandria via LeMat-Bulk. Energies are from GGA-PBE.

Properties
ρ = 7.55 g/cm3
Density of states at the Fermi level = 26.1 states/eV/cell
ΔE to the lowest computed polymorph = 126.9 meV/atom

```
data_Nd5Cd2Ru2
_chemical_formula_sum 'Nd20 Cd8 Ru8'
_space_group_name_H-M_alt 'I m a 2'
_space_group_IT_number 46
_cell_length_a 16.893
_cell_length_b 8.746
_cell_length_c 6.838
_cell_angle_alpha 90.00
_cell_angle_beta 90.00
_cell_angle_gamma 90.00
loop_
_space_group_symop_operation_xyz
'x,y,z'
'-x,-y,z'
'-x+1/2,y,z'
'x+1/2,-y,z'
'x+1/2,y+1/2,z+1/2'
'-x+1/2,-y+1/2,z+1/2'
'-x,y+1/2,z+1/2'
'x,-y+1/2,z+1/2'
loop_
_atom_site_label
_atom_site_type_symbol
_atom_site_fract_x
_atom_site_fract_y
_atom_site_fract_z
Nd1 Nd 0.036 0.207 0.000
Nd2 Nd 0.153 0.608 0.728
Nd3 Nd 0.250 0.206 0.601
Cd1 Cd 0.105 0.537 0.195
Ru1 Ru 0.000 0.000 0.339
Ru2 Ru 0.250 0.005 0.914
```

---

[6]
Here is a geometry-optimized TbPm2Tm8 structure from Alexandria via LeMat-Bulk. Energies are from GGA-PBE.

Properties
ρ = 8.61 g/cm3
Density of states at the Fermi level = 30.4 states/eV/cell
ΔE to the lowest computed polymorph = 92.8 meV/atom

```
data_TbPm2Tm8
_chemical_formula_sum 'Tb2 Pm4 Tm16'
_space_group_name_H-M_alt 'I m m m'
_space_group_IT_number 71
_space_group_name_Hall '-I 2 2'
_cell_length_a 5.450
_cell_length_b 7.999
_cell_length_c 15.925
_cell_angle_alpha 90.00
_cell_angle_beta 90.00
_cell_angle_gamma 90.00
loop_
_atom_site_label
_atom_site_type_symbol
_atom_site_fract_x
_atom_site_fract_y
_atom_site_fract_z
Tb1 Tb 0.000 0.000 0.000
Pm1 Pm 0.000 0.000 0.299
Tm1 Tm 0.000 0.208 0.500
Tm2 Tm 0.000 0.291 0.138
Tm3 Tm 0.000 0.500 0.340
```